--- i ---
Here is a PBEsol-optimized structure of ZrBe2Tc from the Alexandria database. Energies are from SCAN.

Computed properties:
ρ: 6.8 Mg/m³
Density of states at the Fermi level: 0.590 states/eV/atom
Symmetry: Amm2 (38)

```
ZrBe2Tc
1.0
3.249 0.000 0.000
0.000 3.379 0.000
-1.624 0.000 4.632
Be Tc Zr
2 1 1
direct
0.801 0.000 0.601
0.680 0.500 0.361
0.105 0.000 0.211
0.413 0.500 0.827
```

---

--- ii ---
Here is a PBEsol-optimized structure of ZrBe2Tc from the Alexandria database. Energies are from SCAN.

Computed properties:
ρ: 6.7 Mg/m³
Density of states at the Fermi level: 0.877 states/eV/atom
Symmetry: Cmm2 (35)

```
ZrBe2Tc
1.0
2.747 0.069 0.000
-0.331 2.728 0.000
0.000 0.000 6.874
Tc Zr Be
1 1 2
direct
0.000 0.000 0.560
0.500 0.500 0.225
0.000 0.000 0.935
0.500 0.500 0.780
```

---

Most stable structure: i